The following is a PBE calculation of a relaxed LiAgTe2IrS crystal, from OQMD.

a b c (Å): 3.9622 12.9051 10.0421
angles (deg): 90.00 90.00 90.00
With the nearest neighbours (Å) after each atom.
Space group Cmcm (No. 63)
Asymmetric unit:
Li 0.0000 0.2389 0.2500  2 Te 2.83, 2 S 3.00
Ag 0.0000 0.0656 0.7500  2 S 2.59, 2 Te 2.67
Te 0.0000 0.1428 0.5034  1 Ag 2.67, 2 Ir 2.71, 1 Li 2.83
Ir 0.0000 0.5000 0.0000  2 S 2.64, 4 Te 2.71
S 0.0000 0.4360 0.7500  2 Ag 2.59, 2 Ir 2.64

Results
Magnetic moment (μB per formula unit): 0.00
Crystal system: orthorhombic
Uncorrected energy (eV per cell): -99.4